1.
SrMnCdCl6: optimized geometry, GGA-PBE.

Computed properties:
The spin magnetization comes out at 5.00 μB/f.u. As for the symmetry: P-31c (163). Its density is 3.271 g/cm³. The calculation puts the total energy at -4.030 eV/atom. For the uncorrected formation energy, the calculation gives -1.49 eV/atom.

a b c (Å): 6.825 6.825 11.769
angles (deg): 90.00 90.00 120.00
Atoms (fractional coordinates):
Sr: 0.333 0.667 0.250
Sr: 0.667 0.333 0.750
Mn: 0.333 0.667 0.750
Mn: 0.667 0.333 0.250
Cd: 0.000 0.000 0.000
Cd: 0.000 0.000 0.500
Cl: 0.041 0.352 0.624
Cl: 0.041 0.689 0.876
Cl: 0.311 0.352 0.876
Cl: 0.311 0.959 0.624
Cl: 0.352 0.041 0.124
Cl: 0.352 0.311 0.376
Cl: 0.648 0.689 0.624
Cl: 0.648 0.959 0.876
Cl: 0.689 0.041 0.376
Cl: 0.689 0.648 0.124
Cl: 0.959 0.311 0.124
Cl: 0.959 0.648 0.376

2.
HfIn2Ru: optimized geometry, GGA-PBE.

Computed properties:
The spin magnetization comes out at 0.00 μB/f.u. As for the symmetry: Fm-3m (225). The value obtained for the calculated formation energy is 31 meV per atom. Its density is 11.137 g/cm³. The calculation puts the total energy at -6.146 eV/atom.

a b c (Å): 4.753 4.753 4.753
angles (deg): 60.00 60.00 60.00
Atoms (fractional coordinates):
Hf: 0.000 0.000 0.000
In: 0.250 0.250 0.250
In: 0.750 0.750 0.750
Ru: 0.500 0.500 0.500